# 1
Here is Pm2AlCu2 after structural relaxation from OQMD. Energies are from PBE.

Structure (extended XYZ):
```
10
Lattice="4.886 -2.833 0.000 4.886 2.833 0.000 -1.930 0.000 7.670" Properties=species:S:1:pos:R:3 pbc="T T T"
Al 4.404 -2.007 1.918
Al 3.439 2.007 5.753
Cu 3.578 2.072 0.007
Cu 5.229 2.072 3.828
Cu 2.613 -2.072 3.842
Cu 4.264 -2.072 7.663
Pm 6.055 0.797 1.170
Pm 2.752 0.797 2.665
Pm 5.091 -0.797 5.005
Pm 1.787 -0.797 6.500
```

---

# 2
Here is Pm3Al7Cu2 after structural relaxation from OQMD. Energies are from PBE.

Structure (extended XYZ):
```
12
Lattice="2.782 1.606 8.578 -2.782 1.606 8.578 0.000 -3.212 8.578" Properties=species:S:1:pos:R:3 pbc="T T T"
Al 0.000 1.635 10.580
Al 1.416 0.818 15.154
Al -1.416 0.818 15.154
Al 0.000 0.000 12.867
Al 1.416 -0.818 10.580
Al -1.416 -0.818 10.580
Al 0.000 -1.635 15.154
Cu 0.000 0.000 8.631
Cu 0.000 0.000 17.103
Pm 0.000 0.000 0.000
Pm 0.000 0.000 3.646
Pm 0.000 0.000 22.088
```

---

# 3
Here is PrAl3Cu after structural relaxation from OQMD. Energies are from PBE.

Structure (extended XYZ):
```
5
Lattice="-2.130 2.130 5.325 2.130 -2.130 5.325 2.130 2.130 -5.325" Properties=species:S:1:pos:R:3 pbc="T T T"
Al 0.000 0.000 6.335
Al 0.000 2.130 2.668
Al 2.130 0.000 2.668
Cu 0.000 0.000 3.918
Pr 0.000 0.000 0.000
```

---

# 4
Here is Pr2Al5Cu5 after structural relaxation from OQMD. Energies are from PBE.

Structure (extended XYZ):
```
12
Lattice="-3.872 -1.531 -0.091 1.589 -4.197 2.971 -2.027 4.673 7.686" Properties=species:S:1:pos:R:3 pbc="T T T"
Al -2.023 -0.699 2.544
Al -1.232 -2.787 4.023
Al -2.949 1.571 3.798
Al -3.078 1.732 6.544
Al -2.287 -0.356 8.022
Cu -1.141 -2.864 1.440
Cu 0.460 -1.326 2.756
Cu -0.674 1.555 2.557
Cu -1.353 3.118 5.129
Cu -0.897 1.802 7.901
Pr 0.000 0.000 0.000
Pr -0.219 0.238 5.328
```

---

# 5
Here is Pr2SmAl7Cu2 after structural relaxation from OQMD. Energies are from PBE.

Structure (extended XYZ):
```
12
Lattice="6.708 2.115 5.949 9.044 1.494 0.912 6.403 6.246 2.200" Properties=species:S:1:pos:R:3 pbc="T T T"
Al 9.588 2.538 4.134
Al 12.721 5.217 6.832
Al 13.909 4.902 4.272
Al 11.077 4.928 4.531
Al 8.246 4.953 4.789
Al 9.433 4.638 2.229
Al 12.566 7.317 4.927
Cu 7.431 3.305 3.039
Cu 14.724 6.550 6.022
Pr 3.136 1.395 1.283
Pr 19.019 8.460 7.779
Sm 0.000 0.000 0.000
```

---

# 6
Here is PrAlCu2Sn after structural relaxation from OQMD. Energies are from PBE.

Structure (extended XYZ):
```
10
Lattice="-1.841 -0.811 3.836 -2.718 -2.791 -1.894 6.839 -7.774 1.639" Properties=species:S:1:pos:R:3 pbc="T T T"
Al 3.420 -3.887 0.820
Al 1.140 -5.688 1.791
Cu 0.000 0.000 0.000
Cu -2.280 -1.801 0.971
Cu 1.696 -3.379 2.545
Cu 2.864 -6.196 0.065
Pr 0.382 -3.374 -0.530
Pr 4.178 -6.201 3.140
Sn 0.025 -1.481 2.145
Sn 4.534 -8.095 0.466
```

---

Electronic total energy values, unit eV/cell, following the record order: -44.373, -53.780, -22.082, -51.977, -53.589, -44.386.